Si2AuSe | PBE-GGA | optimized geometry

Cell and atoms, written as POSCAR:
```
Si2AuSe
1.0
6.2935 0.0076 0.0031
4.0506 4.8168 -0.0031
-4.9454 -2.8981 2.5985
Au Se Si
1 1 2
Direct
0.4726 0.4726 0.0000
0.1769 0.6769 0.5000
0.0177 0.0177 0.0000
0.8328 0.3328 0.5000
```

## Properties
- Symmetry: Imm2 (44)

=====

Pm2PbIO8 | PBE-GGA | optimized geometry

Cell and atoms, written as POSCAR:
```
Pm2PbIO8
1.0
-0.7723 5.0139 -0.2326
-3.2252 -0.8374 -3.8326
-5.4645 -0.6221 4.7344
Pm Pb I O
2 1 1 8
Direct
0.5000 0.5000 0.7571
0.5000 0.5000 0.2429
0.0000 0.0000 0.5000
0.0000 0.0000 0.0000
0.1785 0.8207 0.1945
0.7299 0.7308 0.0000
0.8215 0.1793 0.1945
0.8215 0.1793 0.8055
0.2701 0.2692 0.0000
0.1785 0.8207 0.8055
0.6876 0.6884 0.5000
0.3124 0.3116 0.5000
```

## Properties
- Symmetry: Cmmm (65)

=====

Asked for theoretical density across the records above, the calculation gives 7.0; 6.7 g cm⁻³ in order.
Asked for V across the records above, the calculation gives 78.67; 187.07 Å³/cell in order.
Asked for formation energy (no corrections) across the records above, the calculation gives 272; -1728 meV per atom in order.